Entry a
Entry from the Alexandria database: an optimized crystal structure of SbSe3Br (PBE).

DOS at the Fermi energy   7.46 states/eV/f.u.
Size of the total moment   0.000 μB per atom
Space-group type   Pm-3m (221)

```
SbSe3Br
1.0
5.347 0.000 0.000
0.000 5.347 0.000
0.000 0.000 5.347
Sb Se Br
1 3 1
Cartesian
0.000 0.000 0.000
0.000 2.674 0.000
0.000 0.000 2.674
2.674 0.000 0.000
2.674 2.674 2.674
```


Entry b
Entry from the Alexandria database: an optimized crystal structure of SbSe3Br (PBE).

DOS at the Fermi energy   3.80 states/eV/f.u.
Size of the total moment   0.000 μB per atom
Space-group type   Pm-3m (221)

```
SbSe3Br
1.0
-2.936 4.075 -1.186
-2.488 -0.484 4.495
3.438 3.129 2.240
Sb Se Br
1 3 1
Cartesian
-0.993 3.360 2.775
-1.244 -0.242 2.248
1.719 1.565 1.120
-1.468 2.038 -0.593
0.000 0.000 0.000
```


The least stable of them is entry b.